# K3P4 PBE relaxed
# - energy (hartree per atom) = -0.134
# - formation energy (eV per atom) = -0.077
# - relative energy among the computed polymorphs (meV per atom) = 0
data_K3P4
_symmetry_space_group_name_H-M 'I 4/m m m'
_symmetry_Int_Tables_number 139
_symmetry_space_group_name_Hall '-I 4 2'
_cell_length_a 3.358
_cell_length_b 3.358
_cell_length_c 31.214
_cell_angle_alpha 90.00
_cell_angle_beta 90.00
_cell_angle_gamma 90.00
loop_
_atom_site_label
_atom_site_type_symbol
_atom_site_fract_x
_atom_site_fract_y
_atom_site_fract_z
K1 K 0.000 0.000 0.000
K2 K 0.000 0.000 0.320
P1 P 0.000 0.000 0.104
P2 P 0.000 0.000 0.420